The following is a DFT calculation (PBE) of a relaxed structure of Tl3Sn9Au2.

Calculated values
space group	Immm (71)
ΔH_f (0 K)	0.14	eV/f.u.

Lattice parameters (Å, degrees): 4.521 9.725 9.725 81.35 76.56 76.56
Sites, in units of the cell vectors:
Tl: 0.327 0.673 0.673
Sn: 0.674 0.946 0.706
Sn: 0.326 0.294 0.054
Au: 0.500 0.759 0.241
Tl: 0.673 0.327 0.327
Au: 0.500 0.241 0.759
Sn: 0.122 0.593 0.162
Sn: 0.000 0.500 0.500
Tl: 0.000 0.000 0.000
Sn: 0.878 0.407 0.838
Sn: 0.674 0.706 0.946
Sn: 0.878 0.838 0.407
Sn: 0.326 0.054 0.294
Sn: 0.122 0.162 0.593


The following is a DFT calculation (PBE) of a relaxed structure of BaFe4.

Calculated values
space group	Im-3m (229)
ΔH_f (0 K)	10.88	eV/f.u.

Lattice parameters (Å, degrees): 5.186 5.186 5.186 109.47 109.47 109.47
Sites, in units of the cell vectors:
Fe: 0.500 0.000 0.000
Fe: 0.000 0.500 0.000
Fe: 0.500 0.500 0.500
Ba: 0.000 0.000 0.000
Fe: 0.000 0.000 0.500


The following is a DFT calculation (PBE) of a relaxed structure of MgSbRh2S.

Calculated values
space group	P4/mmm (123)
formation energy from raw total energies	0.6584	eV per atom

Lattice parameters (Å, degrees): 4.738 4.396 4.738 90.00 90.00 90.00
Sites, in units of the cell vectors:
Rh: 0.000 0.000 0.500
Rh: 0.500 0.000 0.000
Sb: 0.500 0.500 0.500
Mg: 0.000 0.000 0.000
S: 0.000 0.500 0.000


The following is a DFT calculation (PBE) of a relaxed structure of Hf3ReRh.

Calculated values
space group	Pm-3m (221)
ΔH_f (0 K)	3.94	eV/f.u.

Lattice parameters (Å, degrees): 4.850 4.850 4.850 90.00 90.00 90.00
Sites, in units of the cell vectors:
Hf: 0.500 0.000 0.000
Hf: 0.000 0.000 0.500
Hf: 0.000 0.500 0.000
Rh: 0.000 0.000 0.000
Re: 0.500 0.500 0.500


The following is a DFT calculation (PBE) of a relaxed structure of TePbI4.

Calculated values
space group	I-4 (82)
formation energy from raw total energies	-0.2683	eV per atom

Lattice parameters (Å, degrees): 7.190 7.190 7.190 109.55 109.55 109.32
Sites, in units of the cell vectors:
I: 0.210 0.313 0.501
I: 0.291 0.790 0.103
I: 0.812 0.709 0.499
I: 0.687 0.188 0.897
Pb: 0.750 0.250 0.500
Te: 0.500 0.500 0.000


The following is a DFT calculation (PBE) of a relaxed structure of KNpHg2Cl6.

Calculated values
space group	Fm-3m (225)
formation energy from raw total energies	-1.2578	eV per atom

Lattice parameters (Å, degrees): 8.179 8.179 8.179 60.00 60.00 60.00
Sites, in units of the cell vectors:
Cl: 0.218 0.782 0.218
Np: 0.000 0.000 0.000
Cl: 0.218 0.218 0.782
Cl: 0.218 0.782 0.782
Hg: 0.750 0.750 0.750
Cl: 0.782 0.782 0.218
Cl: 0.782 0.218 0.782
Cl: 0.782 0.218 0.218
K: 0.500 0.500 0.500
Hg: 0.250 0.250 0.250


The following is a DFT calculation (PBE) of a relaxed structure of CrRuW2N.

Calculated values
space group	P4/mmm (123)
formation energy from raw total energies	-0.0633	eV per atom

Lattice parameters (Å, degrees): 4.097 4.097 3.869 90.00 90.00 90.00
Sites, in units of the cell vectors:
Ru: 0.500 0.500 0.500
W: 0.000 0.500 0.000
N: 0.000 0.000 0.000
W: 0.500 0.000 0.000
Cr: 0.000 0.000 0.500


The following is a DFT calculation (PBE) of a relaxed structure of MgZrReSi2.

Calculated values
space group	P4/mmm (123)
formation energy from raw total energies	1.3492	eV per atom

Lattice parameters (Å, degrees): 4.575 4.614 4.575 90.00 90.00 90.00
Sites, in units of the cell vectors:
Mg: 0.000 0.000 0.000
Re: 0.000 0.500 0.000
Zr: 0.500 0.500 0.500
Si: 0.000 0.000 0.500
Si: 0.500 0.000 0.000


The following is a DFT calculation (PBE) of a relaxed structure of LiHf2ReTe.

Calculated values
space group	P4/mmm (123)
formation energy from raw total energies	1.3573	eV per atom

Lattice parameters (Å, degrees): 5.257 4.851 5.257 90.00 90.00 90.00
Sites, in units of the cell vectors:
Re: 0.000 0.500 0.000
Hf: 0.000 0.000 0.500
Hf: 0.500 0.000 0.000
Te: 0.000 0.000 0.000
Li: 0.500 0.500 0.500


The following is a DFT calculation (PBE) of a relaxed structure of PmLuMgGa.

Calculated values
space group	F-43m (216)
ΔH_f (0 K)	-1.28	eV/f.u.

Lattice parameters (Å, degrees): 5.178 5.178 5.178 60.00 60.00 60.00
Sites, in units of the cell vectors:
Pm: 0.000 0.000 0.000
Lu: 0.500 0.500 0.500
Mg: 0.750 0.750 0.750
Ga: 0.250 0.250 0.250


The following is a DFT calculation (PBE) of a relaxed structure of HfSbH2F.

Calculated values
E_tot	-5.0497	eV/atom
space group	P4/mmm (123)

Lattice parameters (Å, degrees): 4.014 4.219 4.014 90.00 90.00 90.00
Sites, in units of the cell vectors:
H: 0.500 0.000 0.000
F: 0.000 0.500 0.000
Sb: 0.500 0.500 0.500
Hf: 0.000 0.000 0.000
H: 0.000 0.000 0.500


The following is a DFT calculation (PBE) of a relaxed structure of Tc2SbAu.

Calculated values
space group	F-43m (216)
formation energy from raw total energies	0.5471	eV per atom

Lattice parameters (Å, degrees): 4.610 4.610 4.610 60.00 60.00 60.00
Sites, in units of the cell vectors:
Tc: 0.000 0.000 0.000
Au: 0.500 0.500 0.500
Sb: 0.250 0.250 0.250
Tc: 0.750 0.750 0.750


The following is a DFT calculation (PBE) of a relaxed structure of Er2Sc3Cu2.

Calculated values
space group	C2/m (12)
ΔH_f (0 K)	-0.86	eV/f.u.

Lattice parameters (Å, degrees): 3.404 6.183 8.234 72.23 78.07 74.02
Sites, in units of the cell vectors:
Sc: 0.384 0.787 0.444
Cu: 0.833 0.102 0.232
Sc: 0.616 0.213 0.556
Sc: 0.500 0.000 0.000
Er: 0.150 0.508 0.191
Cu: 0.167 0.898 0.768
Er: 0.850 0.492 0.809


The following is a DFT calculation (PBE) of a relaxed structure of ZrV2TeSe.

Calculated values
space group	P4/mmm (123)
formation energy from raw total energies	0.6448	eV per atom

Lattice parameters (Å, degrees): 4.487 5.691 4.487 90.00 90.00 90.00
Sites, in units of the cell vectors:
Te: 0.000 0.500 0.000
Zr: 0.500 0.500 0.500
V: 0.500 0.000 0.000
Se: 0.000 0.000 0.000
V: 0.000 0.000 0.500


The following is a DFT calculation (PBE) of a relaxed structure of SrMg2ZnI.

Calculated values
space group	P4/mmm (123)
formation energy from raw total energies	0.4261	eV per atom

Lattice parameters (Å, degrees): 5.773 6.192 5.773 90.00 90.00 90.00
Sites, in units of the cell vectors:
Zn: 0.500 0.500 0.500
Mg: 0.000 0.000 0.500
I: 0.000 0.000 0.000
Mg: 0.500 0.000 0.000
Sr: 0.000 0.500 0.000


The following is a DFT calculation (PBE) of a relaxed structure of BaAgSb2N.

Calculated values
space group	P4/mmm (123)
formation energy from raw total energies	0.5172	eV per atom

Lattice parameters (Å, degrees): 5.937 3.992 5.937 90.00 90.00 90.00
Sites, in units of the cell vectors:
Sb: 0.000 0.000 0.500
Ag: 0.000 0.000 0.000
Sb: 0.500 0.000 0.000
N: 0.000 0.500 0.000
Ba: 0.500 0.500 0.500


The following is a DFT calculation (PBE) of a relaxed structure of CuIr.

Calculated values
space group	P6_3mc (186)
ΔH_f (0 K)	0.68	eV/f.u.

Lattice parameters (Å, degrees): 2.663 2.663 9.308 90.00 90.00 120.00
Sites, in units of the cell vectors:
Cu: 0.333 0.667 0.051
Ir: 0.333 0.667 0.320
Ir: 0.667 0.333 0.820
Cu: 0.667 0.333 0.551


The following is a DFT calculation (PBE) of a relaxed structure of LiTe2CBr.

Calculated values
space group	P4/mmm (123)
formation energy from raw total energies	1.3655	eV per atom

Lattice parameters (Å, degrees): 6.062 3.789 6.062 90.00 90.00 90.00
Sites, in units of the cell vectors:
Te: 0.000 0.000 0.500
Br: 0.000 0.000 0.000
C: 0.000 0.500 0.000
Te: 0.500 0.000 0.000
Li: 0.500 0.500 0.500


The following is a DFT calculation (PBE) of a relaxed structure of NaSrCd2Cu.

Calculated values
space group	P4/mmm (123)
ΔH_f (0 K)	0.06	eV/f.u.

Lattice parameters (Å, degrees): 5.191 5.191 5.586 90.00 90.00 90.00
Sites, in units of the cell vectors:
Na: 0.500 0.500 0.500
Sr: 0.000 0.000 0.500
Cu: 0.000 0.000 0.000
Cd: 0.500 0.000 0.000
Cd: 0.000 0.500 0.000


The following is a DFT calculation (PBE) of a relaxed structure of ZrTa2Ir.

Calculated values
space group	I-4m2 (119)
ΔH_f (0 K)	-0.62	eV/f.u.

Lattice parameters (Å, degrees): 5.419 5.419 5.419 137.14 137.14 62.22
Sites, in units of the cell vectors:
Ta: 0.250 0.750 0.500
Ta: 0.000 0.000 0.000
Zr: 0.500 0.500 0.000
Ir: 0.750 0.250 0.500


The following is a DFT calculation (PBE) of a relaxed structure of Dy3ZnSi6Pd2.

Calculated values
space group	P-3m1 (164)
formation energy from raw total energies	-0.4034	eV per atom

Lattice parameters (Å, degrees): 5.611 5.611 8.238 90.00 90.00 120.00
Sites, in units of the cell vectors:
Si: 0.812 0.188 0.726
Pd: 0.333 0.667 0.023
Si: 0.376 0.188 0.726
Dy: 0.000 0.000 0.000
Dy: 0.333 0.667 0.601
Dy: 0.667 0.333 0.399
Si: 0.624 0.812 0.274
Zn: 0.000 0.000 0.500
Si: 0.188 0.376 0.274
Si: 0.188 0.812 0.274
Pd: 0.667 0.333 0.977
Si: 0.812 0.624 0.726


The following is a DFT calculation (PBE) of a relaxed structure of TeAuN2O.

Calculated values
space group	P4/mmm (123)
formation energy from raw total energies	1.5881	eV per atom

Lattice parameters (Å, degrees): 4.099 4.099 3.963 90.00 90.00 90.00
Sites, in units of the cell vectors:
Te: 0.500 0.500 0.500
N: 0.500 0.000 0.000
O: 0.000 0.000 0.500
Au: 0.000 0.000 0.000
N: 0.000 0.500 0.000


The following is a DFT calculation (PBE) of a relaxed structure of Tm12ZnAu6.

Calculated values
space group	R-3 (148)
ΔH_f (0 K)	-7.80	eV/f.u.

Lattice parameters (Å, degrees): 8.340 8.340 8.340 100.42 100.42 100.42
Sites, in units of the cell vectors:
Au: 0.384 0.694 0.863
Tm: 0.578 0.177 0.426
Au: 0.306 0.137 0.616
Tm: 0.934 0.060 0.679
Au: 0.694 0.863 0.384
Tm: 0.574 0.422 0.823
Au: 0.616 0.306 0.137
Tm: 0.823 0.574 0.422
Tm: 0.422 0.823 0.574
Tm: 0.426 0.578 0.177
Tm: 0.177 0.426 0.578
Tm: 0.679 0.934 0.060
Tm: 0.321 0.066 0.940
Tm: 0.066 0.940 0.321
Zn: 0.000 0.000 0.000
Tm: 0.940 0.321 0.066
Au: 0.863 0.384 0.694
Au: 0.137 0.616 0.306
Tm: 0.060 0.679 0.934


The following is a DFT calculation (PBE) of a relaxed structure of PmErSiPt.

Calculated values
space group	Amm2 (38)
formation energy from raw total energies	-1.0037	eV per atom

Lattice parameters (Å, degrees): 4.035 4.169 5.812 90.00 110.31 90.00
Sites, in units of the cell vectors:
Pt: 0.421 0.000 0.843
Si: 0.571 0.500 0.143
Pm: 0.144 0.000 0.288
Er: 0.863 0.500 0.727


The following is a DFT calculation (PBE) of a relaxed structure of MnCuSi2.

Calculated values
space group	F222 (22)
formation energy from raw total energies	-0.0713	eV per atom

Lattice parameters (Å, degrees): 4.624 4.624 4.629 135.54 135.54 64.60
Sites, in units of the cell vectors:
Si: 0.750 0.250 0.500
Cu: 0.500 0.500 0.000
Si: 0.000 0.000 0.000
Mn: 0.250 0.750 0.500


The following is a DFT calculation (PBE) of a relaxed structure of Zn2GaB2Ir5.

Calculated values
space group	P4/mbm (127)
ΔH_f (0 K)	-2.74	eV/f.u.

Lattice parameters (Å, degrees): 2.906 9.469 9.469 90.00 90.00 90.00
Sites, in units of the cell vectors:
Zn: 0.000 0.176 0.324
Zn: 0.000 0.676 0.176
Ir: 0.500 0.574 0.714
Ir: 0.500 0.714 0.426
Ir: 0.500 0.214 0.074
B: 0.000 0.627 0.873
Zn: 0.000 0.824 0.676
Ir: 0.500 0.000 0.500
Ir: 0.500 0.426 0.286
Ir: 0.500 0.074 0.786
Zn: 0.000 0.324 0.824
Ir: 0.500 0.286 0.574
B: 0.000 0.373 0.127
Ir: 0.500 0.500 0.000
Ir: 0.500 0.926 0.214
B: 0.000 0.127 0.627
B: 0.000 0.873 0.373
Ir: 0.500 0.786 0.926
Ga: 0.000 0.000 0.000
Ga: 0.000 0.500 0.500